Record 1
The following is a DFT calculation (GGA-PBE) of a relaxed structure of Tb3YTm5.

Cell lengths 8.484, 7.708, 10.644 Å; angles 90.01, 90.00, 123.39 degrees
Positions (direct):
Tm 0.456 0.274 0.981
Tm 0.544 0.726 0.019
Tm 0.456 0.274 0.519
Tm 0.818 0.274 0.481
Tm 0.181 0.726 0.981
Tm 0.182 0.726 0.519
Tm 0.819 0.274 0.019
Tm 0.246 0.000 0.750
Tm 0.754 0.000 0.250
Tm 0.544 0.726 0.481
Tb 0.000 0.000 0.500
Tb 0.213 0.426 0.750
Tb 0.787 0.574 0.250
Tb 0.213 0.426 0.250
Tb 0.787 0.574 0.750
Tb 0.000 0.000 0.000
Y 0.654 0.000 0.750
Y 0.346 0.000 0.250

Calculated values
The energy above the most stable polymorph in this dataset is 0 meV/atom.

=====

Record 2
The following is a DFT calculation (GGA-PBE) of a relaxed structure of ScSiP.

Cell lengths 4.065, 4.065, 3.554 Å; angles 90.00, 90.00, 120.00 degrees
Positions (direct):
P 0.000 0.000 0.833
Si 0.333 0.667 0.833
Sc 0.667 0.333 0.333

Calculated values
The energy above the most stable polymorph in this dataset is 84 meV/atom. The calculation puts the raw formation energy at -0.43 eV per atom.

=====

Record 3
The following is a DFT calculation (GGA-PBE) of a relaxed structure of Cs2Si2Bi.

Cell lengths 7.649, 7.649, 6.099 Å; angles 90.00, 90.00, 90.00 degrees
Positions (direct):
Cs 0.702 0.798 0.500
Cs 0.298 0.202 0.500
Cs 0.798 0.298 0.500
Cs 0.202 0.702 0.500
Si 0.104 0.396 0.000
Si 0.396 0.896 0.000
Si 0.896 0.604 0.000
Si 0.604 0.104 0.000
Bi 0.500 0.500 0.000
Bi 0.000 0.000 0.000

Calculated values
The energy above the most stable polymorph in this dataset is 0 meV/atom. The calculation puts the raw formation energy at 0.10 eV per atom.

=====

Record 4
The following is a DFT calculation (GGA-PBE) of a relaxed structure of Ba2LaPt.

Cell lengths 5.688, 5.688, 5.688 Å; angles 60.00, 60.00, 60.00 degrees
Positions (direct):
Pt 0.500 0.500 0.500
Ba 0.250 0.250 0.250
Ba 0.750 0.750 0.750
La 0.000 0.000 0.000

Calculated values
The energy above the most stable polymorph in this dataset is 693 meV/atom.

=====

Record 5
The following is a DFT calculation (GGA-PBE) of a relaxed structure of Th2ZnHg4.

Cell lengths 5.289, 5.289, 7.968 Å; angles 70.61, 70.61, 60.00 degrees
Positions (direct):
Hg 0.870 0.870 0.390
Hg 0.130 0.130 0.610
Hg 0.429 0.429 0.712
Hg 0.571 0.571 0.288
Th 0.722 0.722 0.834
Th 0.278 0.278 0.166
Zn 0.000 0.000 0.000

Calculated values
The total DFT energy (no corrections) is -18.07 eV per cell.

=====

Record 6
The following is a DFT calculation (GGA-PBE) of a relaxed structure of Ac4Pr3Tm2.

Cell lengths 5.405, 6.493, 11.348 Å; angles 74.49, 90.00, 65.47 degrees
Positions (direct):
Ac 0.001 0.997 0.331
Ac 0.666 0.667 0.889
Ac 0.334 0.333 0.111
Ac 0.999 0.003 0.669
Pr 0.332 0.335 0.447
Pr 0.668 0.665 0.553
Pr 0.000 0.000 0.000
Tm 0.671 0.659 0.227
Tm 0.329 0.341 0.773

Calculated values
The total DFT energy (no corrections) is -39.31 eV per cell.